A geometry-optimized Y3Cu4Si4 structure, computed with PBE.

Calculated values
Magnetization: 0.00 μB per formula unit
Energy relative to the elements, uncorrected: -7.10 eV/f.u.

Cell: 4.1458 6.5567 13.7271 Å, 90.00 90.00 90.00°
With the nearest neighbours (Å) after each atom.
Space group Immm (No. 71)
Symmetry-distinct sites (fractional):
Y  0.0000  0.0000  0.0000 [2 per cell]  6 Si 2.93-2.97
Y  0.0000  0.5000  0.1291 [4 per cell]  6 Cu 2.95-3.04, 6 Si 2.96-2.98
Cu  0.0000  0.3096  0.3308 [8 per cell]  4 Si 2.46-2.57, 1 Cu 2.50
Si  0.0000  0.0000  0.2165 [4 per cell]  6 Cu 2.51-2.57
Si  0.0000  0.1846  0.5000 [4 per cell]  1 Si 2.42, 2 Cu 2.46